1.
## Er2Se (GGA-PBE)

Data for crystalline Er2Se at its relaxed geometry.

The space group is C2/m (No. 12) and the conventional cell measures 5.0457, 5.0383 and 6.5389 Å, with angles of 90.00, 112.54 and 90.00 degrees. Symmetry generates all atoms from Er at (0.1476, 0.0000, 0.2941) and Se at (0.0000, 0.5000, 0.0000).

For the total energy, the calculation gives -5.1524 eV/atom. As for the uncorrected formation energy: -948.9 meV per atom.

2.
## Na4Cd3In5 (GGA-PBE)

Data for crystalline Na4Cd3In5 at its relaxed geometry.

The space group is C2/m (No. 12) and the conventional cell measures 12.1303, 5.6998 and 10.2502 Å, with angles of 90.00, 102.06 and 90.00 degrees. Symmetry generates all atoms from Na at (0.0853, 0.0000, 0.3313), Na at (0.2222, 0.0000, 0.7395), Cd at (0.0000, 0.0000, 0.0000), Cd at (0.0325, 0.5000, 0.7208), In at (0.0000, 0.5000, 0.0000), In at (0.1628, 0.5000, 0.5115) and In at (0.2501, 0.0000, 0.0732).

For the total energy, the calculation gives -1.8290 eV/atom. For the formation energy, the calculation gives -0.020 eV/atom.

3.
## Li7Cd2Hg (GGA-PBE)

Data for crystalline Li7Cd2Hg at its relaxed geometry.

The space group is P3m1 (No. 156) and the conventional cell measures 4.6433, 4.6433 and 9.9390 Å, with angles of 90.00, 90.00 and 120.00 degrees. Symmetry generates all atoms from Li at (0.0000, 0.0000, 0.0000), Li at (0.0000, 0.0000, 0.2376), Li at (0.0000, 0.0000, 0.7584), Li at (0.3333, 0.6667, 0.3934), Li at (0.3333, 0.6667, 0.7684), Li at (0.6667, 0.3333, 0.2151), Li at (0.6667, 0.3333, 0.5936), Cd at (0.0000, 0.0000, 0.4982), Cd at (0.6667, 0.3333, 0.9031) and Hg at (0.3333, 0.6667, 0.0948).

For the total energy, the calculation gives -1.7012 eV/atom. For the formation energy, the calculation gives -0.148 eV/atom.

4.
## Nd6ScTe8 (GGA-PBE)

Data for crystalline Nd6ScTe8 at its relaxed geometry.

The space group is R-3 (No. 148, hexagonal axes) and the conventional cell measures 9.3734, 9.3734 and 18.9466 Å, with angles of 90.00, 90.00 and 120.00 degrees. Symmetry generates all atoms from Nd at (0.0092, 0.3912, 0.0796), Sc at (0.0000, 0.0000, 0.0000), Te at (0.0000, 0.0000, 0.3240) and Te at (0.0022, 0.7379, 0.0884).

For the total energy, the calculation gives -5.3417 eV/atom. As for the uncorrected formation energy: -1336.9 meV per atom.

5.
## Y4ScOs (GGA-PBE)

Data for crystalline Y4ScOs at its relaxed geometry.

The space group is F-43m (No. 216) and the conventional cell measures 8.5820, 8.5820 and 8.5820 Å, with angles of 90.00, 90.00 and 90.00 degrees. Symmetry generates all atoms from Y at (0.1238, 0.1238, 0.1238), Sc at (0.0000, 0.0000, 0.5000) and Os at (0.2500, 0.2500, 0.7500).

For the total energy, the calculation gives -6.4232 eV/atom. For the formation energy, the calculation gives 0.813 eV/atom.

6.
## SrCaTeSe (GGA-PBE)

Data for crystalline SrCaTeSe at its relaxed geometry.

The space group is R3m (No. 160, hexagonal axes) and the conventional cell measures 4.4808, 4.4808 and 22.0636 Å, with angles of 90.00, 90.00 and 120.00 degrees. Symmetry generates all atoms from Sr at (0.0000, 0.0000, 0.0000), Ca at (0.0000, 0.0000, 0.4897), Te at (0.0000, 0.0000, 0.2401) and Se at (0.0000, 0.0000, 0.7486).

For the total energy, the calculation gives -4.4287 eV/atom. As for the uncorrected formation energy: -1851.3 meV per atom.

7.
## Mg2BePb (GGA-PBE)

Data for crystalline Mg2BePb at its relaxed geometry.

The space group is P-1 (No. 2) and the conventional cell measures 4.9206, 6.0509 and 6.8786 Å, with angles of 109.78, 102.01 and 107.73 degrees. Symmetry generates all atoms from Mg at (0.0803, 0.3267, 0.1150), Mg at (0.1953, 0.2972, 0.6168), Be at (0.4508, 0.6577, 0.0087) and Pb at (0.4616, 0.8889, 0.7038).

For the total energy, the calculation gives -2.4940 eV/atom. For the formation energy, the calculation gives 0.162 eV/atom. The offset from the most stable computed form is 35 meV/atom.

8.
## LaPrMgIr (GGA-PBE)

Data for crystalline LaPrMgIr at its relaxed geometry.

The space group is F-43m (No. 216) and the conventional cell measures 7.4252, 7.4252 and 7.4252 Å, with angles of 90.00, 90.00 and 90.00 degrees. Symmetry generates all atoms from La at (0.0000, 0.0000, 0.0000), Pr at (0.0000, 0.0000, 0.5000), Mg at (0.2500, 0.2500, 0.2500) and Ir at (0.2500, 0.2500, 0.7500).

For the total energy, the calculation gives -5.3289 eV/atom. For the formation energy, the calculation gives -0.288 eV/atom.

9.
## Gd2InTe (GGA-PBE)

Data for crystalline Gd2InTe at its relaxed geometry.

The space group is P4/mmm (No. 123) and the conventional cell measures 3.6880, 3.6880 and 8.1817 Å, with angles of 90.00, 90.00 and 90.00 degrees. Symmetry generates all atoms from Gd at (0.0000, 0.0000, 0.2394), In at (0.5000, 0.5000, 0.5000) and Te at (0.5000, 0.5000, 0.0000).

For the total energy, the calculation gives -9.3333 eV/atom. As for the uncorrected formation energy: -822.8 meV per atom. The offset from the most stable computed form is 36 meV/atom.

10.
## CaRuCl6 (GGA-PBE)

Data for crystalline CaRuCl6 at its relaxed geometry.

The space group is R-3 (No. 148, hexagonal axes) and the conventional cell measures 6.3867, 6.3867 and 17.3651 Å, with angles of 90.00, 90.00 and 120.00 degrees. Symmetry generates all atoms from Ca at (0.0000, 0.0000, 0.0000), Ru at (0.0000, 0.0000, 0.5000) and Cl at (0.0173, 0.7069, 0.4227).

For the total energy, the calculation gives -3.9230 eV/atom. As for the uncorrected formation energy: -1128.3 meV per atom. The offset from the most stable computed form is 33 meV/atom.

11.
## AlP4W (GGA-PBE)

Data for crystalline AlP4W at its relaxed geometry.

The space group is F-43m (No. 216) and the conventional cell measures 7.0145, 7.0145 and 7.0145 Å, with angles of 90.00, 90.00 and 90.00 degrees. Symmetry generates all atoms from Al at (0.0000, 0.0000, 0.0000), P at (0.1237, 0.1237, 0.6237) and W at (0.2500, 0.2500, 0.2500).

For the total energy, the calculation gives -5.5958 eV/atom. For the formation energy, the calculation gives 0.793 eV/atom.

12.
## LaI (GGA-PBE)

Data for crystalline LaI at its relaxed geometry.

The space group is R-3m (No. 166, hexagonal axes) and the conventional cell measures 3.9706, 3.9706 and 14.7498 Å, with angles of 90.00, 90.00 and 120.00 degrees. Symmetry generates all atoms from La at (0.0000, 0.0000, 0.0000) and I at (0.0000, 0.0000, 0.5000).

For the total energy, the calculation gives -4.2226 eV/atom. As for the uncorrected formation energy: -983.8 meV per atom.